A plane-wave DFT calculation with GGA-PBE was carried out for crystalline LiMg2Au2 at its relaxed geometry.

Unit cell a=7.4486 b=7.4486 c=3.4531 alpha=90.00 beta=90.00 gamma=90.00
Fractional positions:
Li  0.0000  0.0000  0.0000
Li  0.5000  0.5000  0.0000
Mg  0.1545  0.3455  0.5000
Mg  0.3455  0.8455  0.5000
Mg  0.6545  0.1545  0.5000
Mg  0.8455  0.6545  0.5000
Au  0.1445  0.6445  0.0000
Au  0.3555  0.1445  0.0000
Au  0.6445  0.8555  0.0000
Au  0.8555  0.3555  0.0000

Crystal system: tetragonal
Formation energy, eV per atom: -0.515
Spin magnetization, μB per formula unit: 0.000
Calculated volume, A^3/atom: 19.2

---

A plane-wave DFT calculation with GGA-PBE was carried out for crystalline Ta6W at its relaxed geometry.

Unit cell a=7.1755 b=7.1755 c=7.1755 alpha=118.26 beta=118.26 gamma=118.26
Fractional positions:
Ta  0.0585  0.6334  0.7748
Ta  0.2252  0.9415  0.3666
Ta  0.3666  0.2252  0.9415
Ta  0.6334  0.7748  0.0585
Ta  0.7748  0.0585  0.6334
Ta  0.9415  0.3666  0.2252
W  0.5000  0.5000  0.5000

Crystal system: trigonal
Formation energy, eV per atom: -0.022
Spin magnetization, μB per formula unit: 0.000
Calculated volume, A^3/atom: 17.9

---

A plane-wave DFT calculation with GGA-PBE was carried out for crystalline Zn2BiRh2 at its relaxed geometry.

Unit cell a=7.3650 b=7.3650 c=3.1181 alpha=90.00 beta=90.00 gamma=90.00
Fractional positions:
Zn  0.1449  0.3551  0.0000
Zn  0.3551  0.8551  0.0000
Zn  0.6449  0.1449  0.0000
Zn  0.8551  0.6449  0.0000
Bi  0.0000  0.0000  0.5000
Bi  0.5000  0.5000  0.5000
Rh  0.1470  0.6470  0.5000
Rh  0.3530  0.1470  0.5000
Rh  0.6470  0.8530  0.5000
Rh  0.8530  0.3530  0.5000

Crystal system: tetragonal
Formation energy, eV per atom: -0.149
Spin magnetization, μB per formula unit: 0.000
Calculated volume, A^3/atom: 16.9

---

A plane-wave DFT calculation with GGA-PBE was carried out for crystalline HoHf2Sc at its relaxed geometry.

Unit cell a=4.5736 b=4.5736 c=4.6420 alpha=90.00 beta=90.00 gamma=90.00
Fractional positions:
Ho  0.0000  0.0000  0.0000
Hf  0.0000  0.5000  0.5000
Hf  0.5000  0.0000  0.5000
Sc  0.5000  0.5000  0.0000

Crystal system: tetragonal
Formation energy, eV per atom: 0.134
Spin magnetization, μB per formula unit: 0.000
Calculated volume, A^3/atom: 24.3

---

A plane-wave DFT calculation with GGA-PBE was carried out for crystalline RbInSb2I at its relaxed geometry.

Unit cell a=6.5041 b=6.5041 c=6.6845 alpha=90.00 beta=90.00 gamma=90.00
Fractional positions:
Rb  0.0000  0.0000  0.0000
In  0.5000  0.5000  0.5000
Sb  0.0000  0.5000  0.0000
Sb  0.5000  0.0000  0.0000
I  0.0000  0.0000  0.5000

Crystal system: tetragonal
Spin magnetization, μB per formula unit: 3.086
Calculated volume, A^3/atom: 56.6
Formation energy without anion corrections, kJ/mol of formula units: 364

---

A plane-wave DFT calculation with GGA-PBE was carried out for crystalline TbCu2Pd9 at its relaxed geometry.

Unit cell a=4.0130 b=4.0130 c=11.7153 alpha=90.00 beta=90.00 gamma=90.00
Fractional positions:
Tb  0.0000  0.0000  0.0000
Cu  0.0000  0.0000  0.3431
Cu  0.0000  0.0000  0.6569
Pd  0.0000  0.5000  0.1821
Pd  0.0000  0.5000  0.5000
Pd  0.0000  0.5000  0.8179
Pd  0.5000  0.0000  0.1821
Pd  0.5000  0.0000  0.5000
Pd  0.5000  0.0000  0.8179
Pd  0.5000  0.5000  0.0000
Pd  0.5000  0.5000  0.3410
Pd  0.5000  0.5000  0.6590

Crystal system: tetragonal
Formation energy, eV per atom: -0.305
Spin magnetization, μB per formula unit: 0.001
Calculated volume, A^3/atom: 15.7

---

- The lowest calculated volume belongs to which entry?
  TbCu2Pd9